Material: MoRu2RhF
Method: DFT, PBE+U
State: relaxed

Unit cell a=4.2300 b=4.3614 c=4.2300 alpha=90.00 beta=90.00 gamma=90.00
Closest atoms and distances in Å follow each position.
Atoms (fractional coordinates):
Ru (0.0000, 0.0000, 0.5000)  2 F 2.11
Ru (0.5000, 0.0000, 0.0000)  2 F 2.11
Rh (0.0000, 0.5000, 0.0000)  2 F 2.18
F (0.0000, 0.0000, 0.0000)  4 Ru 2.11, 2 Rh 2.18
Mo (0.5000, 0.5000, 0.5000)  4 Rh 2.99, 8 Ru 3.04

## Properties
Energy in eV per atom: -6.01
Spin magnetization in μB/cell: 1.249
V in Å³/f.u.: 78